<i>
{"formula": "EuLuNi2", "functional": "PBE", "state": "relaxed", "spacegroup": "P4/mmm (123)", "lattice_angstrom": [[3.373, 0.000, 0.000], [0.000, 3.373, 0.000], [0.000, 0.000, 6.893]], "species": ["Eu", "Lu", "Ni", "Ni"], "fractional_positions": [[0.000, 0.000, 0.000], [0.000, 0.000, 0.500], [0.500, 0.500, 0.289], [0.500, 0.500, 0.711]]}

<ii>
{"formula": "EuLuNi2", "functional": "PBE", "state": "relaxed", "spacegroup": "Fm-3m (225)", "lattice_angstrom": [[0.000, 3.385, 3.385], [3.385, 0.000, 3.385], [3.385, 3.385, 0.000]], "species": ["Eu", "Lu", "Ni", "Ni"], "fractional_positions": [[0.000, 0.000, 0.000], [0.500, 0.500, 0.500], [0.250, 0.250, 0.250], [0.750, 0.750, 0.750]]}

Most stable structure, least stable structure: <i>, <ii>.

<i>
{"formula": "EuLuPb2", "functional": "PBE", "state": "relaxed", "spacegroup": "Fm-3m (225)", "lattice_angstrom": [[0.000, 3.900, 3.900], [3.900, 0.000, 3.900], [3.900, 3.900, 0.000]], "species": ["Eu", "Lu", "Pb", "Pb"], "fractional_positions": [[0.000, 0.000, 0.000], [0.500, 0.500, 0.500], [0.250, 0.250, 0.250], [0.750, 0.750, 0.750]]}

<ii>
{"formula": "EuLuPb2", "functional": "PBE", "state": "relaxed", "spacegroup": "P4/mmm (123)", "lattice_angstrom": [[5.105, 0.000, 0.000], [0.000, 5.105, 0.000], [0.000, 0.000, 4.483]], "species": ["Eu", "Lu", "Pb", "Pb"], "fractional_positions": [[0.000, 0.000, 0.000], [0.500, 0.500, 0.000], [0.000, 0.500, 0.500], [0.500, 0.000, 0.500]]}

Most stable structure, least stable structure: <ii>, <i>.

<i>
{"formula": "Pr2EuLu", "functional": "PBE", "state": "relaxed", "spacegroup": "Fm-3m (225)", "lattice_angstrom": [[0.000, 4.136, 4.136], [4.136, 0.000, 4.136], [4.136, 4.136, 0.000]], "species": ["Pr", "Pr", "Eu", "Lu"], "fractional_positions": [[0.250, 0.250, 0.250], [0.750, 0.750, 0.750], [0.000, 0.000, 0.000], [0.500, 0.500, 0.500]]}

<ii>
{"formula": "Pr2EuLu", "functional": "PBE", "state": "relaxed", "spacegroup": "P4/mmm (123)", "lattice_angstrom": [[5.219, 0.000, 0.000], [0.000, 5.219, 0.000], [0.000, 0.000, 5.130]], "species": ["Pr", "Pr", "Eu", "Lu"], "fractional_positions": [[0.000, 0.500, 0.000], [0.500, 0.000, 0.000], [0.000, 0.000, 0.500], [0.500, 0.500, 0.500]]}

<iii>
{"formula": "Pr2EuLu", "functional": "PBE", "state": "relaxed", "spacegroup": "P4/mmm (123)", "lattice_angstrom": [[3.696, 0.000, 0.000], [0.000, 3.696, 0.000], [0.000, 0.000, 10.363]], "species": ["Pr", "Pr", "Eu", "Lu"], "fractional_positions": [[0.000, 0.000, 0.233], [0.000, 0.000, 0.767], [0.500, 0.500, 0.500], [0.500, 0.500, 0.000]]}

Most stable structure, least stable structure: <iii>, <i>.

<i>
{"formula": "PrEu2Lu", "functional": "PBE", "state": "relaxed", "spacegroup": "Fm-3m (225)", "lattice_angstrom": [[0.000, 4.164, 4.164], [4.164, 0.000, 4.164], [4.164, 4.164, 0.000]], "species": ["Pr", "Eu", "Eu", "Lu"], "fractional_positions": [[0.000, 0.000, 0.000], [0.250, 0.250, 0.250], [0.750, 0.750, 0.750], [0.500, 0.500, 0.500]]}

<ii>
{"formula": "PrEu2Lu", "functional": "PBE", "state": "relaxed", "spacegroup": "P4/mmm (123)", "lattice_angstrom": [[3.669, 0.000, 0.000], [0.000, 3.669, 0.000], [0.000, 0.000, 10.700]], "species": ["Pr", "Eu", "Eu", "Lu"], "fractional_positions": [[0.000, 0.000, 0.000], [0.500, 0.500, 0.259], [0.500, 0.500, 0.741], [0.000, 0.000, 0.500]]}

Most stable structure, least stable structure: <ii>, <i>.

<i>
{"formula": "EuLu2Pu", "functional": "PBE", "state": "relaxed", "spacegroup": "P4/mmm (123)", "lattice_angstrom": [[3.540, 0.000, 0.000], [0.000, 3.540, 0.000], [0.000, 0.000, 9.853]], "species": ["Eu", "Lu", "Lu", "Pu"], "fractional_positions": [[0.000, 0.000, 0.000], [0.500, 0.500, 0.270], [0.500, 0.500, 0.730], [0.000, 0.000, 0.500]]}

<ii>
{"formula": "EuLu2Pu", "functional": "PBE", "state": "relaxed", "spacegroup": "P4/mmm (123)", "lattice_angstrom": [[5.072, 0.000, 0.000], [0.000, 5.072, 0.000], [0.000, 0.000, 4.777]], "species": ["Eu", "Lu", "Lu", "Pu"], "fractional_positions": [[0.000, 0.000, 0.000], [0.000, 0.500, 0.500], [0.500, 0.000, 0.500], [0.500, 0.500, 0.000]]}

Most stable structure, least stable structure: <i>, <ii>.

<i>
{"formula": "EuLuRh", "functional": "PBE", "state": "relaxed", "spacegroup": "F-43m (216)", "lattice_angstrom": [[0.000, 3.418, 3.418], [3.418, 0.000, 3.418], [3.418, 3.418, 0.000]], "species": ["Eu", "Lu", "Rh"], "fractional_positions": [[0.000, 0.000, 0.000], [0.500, 0.500, 0.500], [0.250, 0.250, 0.250]]}

<ii>
{"formula": "EuLuRh", "functional": "PBE", "state": "relaxed", "spacegroup": "I4mm (107)", "lattice_angstrom": [[-1.718, 1.718, 6.519], [1.718, -1.718, 6.519], [1.718, 1.718, -6.519]], "species": ["Eu", "Lu", "Rh"], "fractional_positions": [[0.000, 0.000, 0.000], [0.261, 0.261, 0.000], [0.654, 0.654, 0.000]]}

Most stable structure, least stable structure: <ii>, <i>.

<i>
{"formula": "EuLuSc2", "functional": "PBE", "state": "relaxed", "spacegroup": "Fm-3m (225)", "lattice_angstrom": [[0.000, 3.844, 3.844], [3.844, 0.000, 3.844], [3.844, 3.844, 0.000]], "species": ["Eu", "Lu", "Sc", "Sc"], "fractional_positions": [[0.000, 0.000, 0.000], [0.500, 0.500, 0.500], [0.250, 0.250, 0.250], [0.750, 0.750, 0.750]]}

<ii>
{"formula": "EuLuSc2", "functional": "PBE", "state": "relaxed", "spacegroup": "P4/mmm (123)", "lattice_angstrom": [[3.821, 0.000, 0.000], [0.000, 3.821, 0.000], [0.000, 0.000, 7.961]], "species": ["Eu", "Lu", "Sc", "Sc"], "fractional_positions": [[0.000, 0.000, 0.000], [0.000, 0.000, 0.500], [0.500, 0.500, 0.274], [0.500, 0.500, 0.726]]}

Most stable structure, least stable structure: <ii>, <i>.

<i>
{"formula": "SmEu2Lu", "functional": "PBE", "state": "relaxed", "spacegroup": "Fm-3m (225)", "lattice_angstrom": [[0.000, 4.133, 4.133], [4.133, 0.000, 4.133], [4.133, 4.133, 0.000]], "species": ["Sm", "Eu", "Eu", "Lu"], "fractional_positions": [[0.000, 0.000, 0.000], [0.250, 0.250, 0.250], [0.750, 0.750, 0.750], [0.500, 0.500, 0.500]]}

<ii>
{"formula": "SmEu2Lu", "functional": "PBE", "state": "relaxed", "spacegroup": "P4/mmm (123)", "lattice_angstrom": [[3.644, 0.000, 0.000], [0.000, 3.644, 0.000], [0.000, 0.000, 10.601]], "species": ["Sm", "Eu", "Eu", "Lu"], "fractional_positions": [[0.000, 0.000, 0.000], [0.500, 0.500, 0.256], [0.500, 0.500, 0.744], [0.000, 0.000, 0.500]]}

<iii>
{"formula": "SmEu2Lu", "functional": "PBE", "state": "relaxed", "spacegroup": "P4/mmm (123)", "lattice_angstrom": [[5.171, 0.000, 0.000], [0.000, 5.171, 0.000], [0.000, 0.000, 5.271]], "species": ["Sm", "Eu", "Eu", "Lu"], "fractional_positions": [[0.000, 0.000, 0.000], [0.000, 0.500, 0.500], [0.500, 0.000, 0.500], [0.500, 0.500, 0.000]]}

Most stable structure, least stable structure: <ii>, <i>.

<i>
{"formula": "EuLu2Sn", "functional": "PBE", "state": "relaxed", "spacegroup": "P4/mmm (123)", "lattice_angstrom": [[4.863, 0.000, 0.000], [0.000, 4.863, 0.000], [0.000, 0.000, 4.734]], "species": ["Eu", "Lu", "Lu", "Sn"], "fractional_positions": [[0.000, 0.000, 0.000], [0.000, 0.500, 0.500], [0.500, 0.000, 0.500], [0.500, 0.500, 0.000]]}

<ii>
{"formula": "EuLu2Sn", "functional": "PBE", "state": "relaxed", "spacegroup": "Fm-3m (225)", "lattice_angstrom": [[0.000, 3.808, 3.808], [3.808, 0.000, 3.808], [3.808, 3.808, 0.000]], "species": ["Eu", "Lu", "Lu", "Sn"], "fractional_positions": [[0.000, 0.000, 0.000], [0.250, 0.250, 0.250], [0.750, 0.750, 0.750], [0.500, 0.500, 0.500]]}

Most stable structure, least stable structure: <i>, <ii>.

<i>
{"formula": "TbEu2Lu", "functional": "PBE", "state": "relaxed", "spacegroup": "P4/mmm (123)", "lattice_angstrom": [[3.623, 0.000, 0.000], [0.000, 3.623, 0.000], [0.000, 0.000, 10.560]], "species": ["Tb", "Eu", "Eu", "Lu"], "fractional_positions": [[0.000, 0.000, 0.000], [0.500, 0.500, 0.254], [0.500, 0.500, 0.746], [0.000, 0.000, 0.500]]}

<ii>
{"formula": "TbEu2Lu", "functional": "PBE", "state": "relaxed", "spacegroup": "Fm-3m (225)", "lattice_angstrom": [[0.000, 4.109, 4.109], [4.109, 0.000, 4.109], [4.109, 4.109, 0.000]], "species": ["Tb", "Eu", "Eu", "Lu"], "fractional_positions": [[0.000, 0.000, 0.000], [0.250, 0.250, 0.250], [0.750, 0.750, 0.750], [0.500, 0.500, 0.500]]}

Most stable structure, least stable structure: <i>, <ii>.

<i>
{"formula": "TbEuLu2", "functional": "PBE", "state": "relaxed", "spacegroup": "P4/mmm (123)", "lattice_angstrom": [[5.694, 0.000, 0.000], [0.000, 5.694, 0.000], [0.000, 0.000, 3.968]], "species": ["Tb", "Eu", "Lu", "Lu"], "fractional_positions": [[0.000, 0.000, 0.000], [0.500, 0.500, 0.000], [0.000, 0.500, 0.500], [0.500, 0.000, 0.500]]}

<ii>
{"formula": "TbEuLu2", "functional": "PBE", "state": "relaxed", "spacegroup": "R-3m (166)", "lattice_angstrom": [[1.744, 1.007, 12.396], [-1.744, 1.007, 12.396], [0.000, -2.014, 12.396]], "species": ["Tb", "Eu", "Lu", "Lu"], "fractional_positions": [[0.000, 0.000, 0.000], [0.500, 0.500, 0.500], [0.409, 0.409, 0.409], [0.591, 0.591, 0.591]]}

Most stable structure, least stable structure: <i>, <ii>.

<i>
{"formula": "EuLuTh2", "functional": "PBE", "state": "relaxed", "spacegroup": "P4/mmm (123)", "lattice_angstrom": [[4.144, 0.000, 0.000], [0.000, 4.144, 0.000], [0.000, 0.000, 7.617]], "species": ["Eu", "Lu", "Th", "Th"], "fractional_positions": [[0.000, 0.000, 0.000], [0.000, 0.000, 0.500], [0.500, 0.500, 0.268], [0.500, 0.500, 0.732]]}

<ii>
{"formula": "EuLuTh2", "functional": "PBE", "state": "relaxed", "spacegroup": "P4/mmm (123)", "lattice_angstrom": [[5.074, 0.000, 0.000], [0.000, 5.074, 0.000], [0.000, 0.000, 5.032]], "species": ["Eu", "Lu", "Th", "Th"], "fractional_positions": [[0.000, 0.000, 0.000], [0.500, 0.500, 0.000], [0.000, 0.500, 0.500], [0.500, 0.000, 0.500]]}

Most stable structure, least stable structure: <ii>, <i>.